Entry from the Alexandria database: crystalline Ba2Tl3Hg5 at its relaxed geometry (PBE).

Output
The crystal system is orthorhombic. Its raw total energy is -15.3 eV per formula unit. Its space group is No. 72. Its density of states at the Fermi level is 11.6 states/eV per cell.

abc: 10.1194 10.1194 10.1194
angles: 102.59 92.03 138.29
With the nearest neighbours (Å) after each atom.
Fractional positions:
Ba 0.1250 0.2428 0.3678  10 Hg 3.76-4.05, 6 Tl 3.82-4.11
Ba 0.3750 0.7428 0.1179  10 Hg 3.76-4.05, 6 Tl 3.82-4.11
Ba 0.6250 0.2572 0.8821  10 Hg 3.76-4.05, 6 Tl 3.82-4.11
Ba 0.8750 0.7572 0.6322  10 Hg 3.76-4.05, 6 Tl 3.82-4.11
Tl 0.1298 0.8738 0.0037  5 Hg 2.94-3.04
Tl 0.2500 0.7500 0.5000  6 Hg 3.08-3.35
Tl 0.3702 0.3738 0.7440  5 Hg 2.94-3.04
Tl 0.6298 0.6262 0.2560  5 Hg 2.94-3.04
Tl 0.7500 0.2500 0.5000  6 Hg 3.08-3.35
Tl 0.8702 0.1262 0.9963  5 Hg 2.94-3.04
Hg 0.0115 0.7500 0.2615  2 Hg 3.01, 3 Tl 3.04-3.35
Hg 0.1237 0.6416 0.7653  3 Tl 2.94-3.08, 2 Hg 3.01
Hg 0.2500 0.2500 0.0000  4 Tl 3.02
Hg 0.3763 0.1416 0.5179  3 Tl 2.94-3.08, 2 Hg 3.01
Hg 0.4885 0.7500 0.7385  2 Hg 3.01, 3 Tl 3.04-3.35
Hg 0.5115 0.2500 0.2615  2 Hg 3.01, 3 Tl 3.04-3.35
Hg 0.6237 0.8584 0.4821  3 Tl 2.94-3.08, 2 Hg 3.01
Hg 0.7500 0.7500 0.0000  4 Tl 3.02
Hg 0.8763 0.3584 0.2347  3 Tl 2.94-3.08, 2 Hg 3.01
Hg 0.9885 0.2500 0.7385  2 Hg 3.01, 3 Tl 3.04-3.35



Entry from the Alexandria database: crystalline Ba2Tl8Hg at its relaxed geometry (PBE).

Output
The crystal system is tetragonal. Its raw total energy is -25.1 eV per formula unit. Its space group is No. 123. Its density of states at the Fermi level is 6.1 states/eV per cell. The value obtained for the offset from the most stable computed form is 0 meV per atom.

abc: 5.2564 5.2564 13.2773
angles: 90.00 90.00 90.00
With the nearest neighbours (Å) after each atom.
Fractional positions:
Ba 0.0000 0.0000 0.1913  12 Tl 3.56-3.72
Ba 0.0000 0.0000 0.8087  12 Tl 3.56-3.72
Tl 0.0000 0.5000 0.0000  8 Tl 3.60-3.72, 4 Ba 3.65
Tl 0.0000 0.5000 0.3721  2 Hg 3.13, 1 Tl 3.40
Tl 0.0000 0.5000 0.6279  2 Hg 3.13, 1 Tl 3.40
Tl 0.5000 0.0000 0.0000  8 Tl 3.60-3.72, 4 Ba 3.65
Tl 0.5000 0.0000 0.3721  2 Hg 3.13, 1 Tl 3.40
Tl 0.5000 0.0000 0.6279  2 Hg 3.13, 1 Tl 3.40
Tl 0.5000 0.5000 0.1850  8 Tl 3.60-3.62, 4 Ba 3.72
Tl 0.5000 0.5000 0.8150  8 Tl 3.60-3.62, 4 Ba 3.72
Hg 0.0000 0.0000 0.5000  8 Tl 3.13



| no. | E_form (eV per formula unit) |
| --- | --- |
| 1 | -2.88 |
| 2 | -1.97 |